Record 1
Below is a relaxed structure of MnV4, with properties calculated at the GGA-PBE level.

Results
formation energy = 4.19 eV per formula unit
offset from the most stable computed form = 679.8 meV/atom

a b c (Å): 4.282 4.282 4.282
angles (deg): 90.00 90.00 90.00
Space group Pm-3m (No. 221)
Symmetry-distinct sites (fractional):
1 Mn 0.000 0.000 0.000
2 V 0.000 0.000 0.500
3 V 0.500 0.500 0.500

***

Record 2
Below is a relaxed structure of CaP2Se, with properties calculated at the GGA-PBE level.

Results
ΔE_f (raw) = -184 kJ/mol of formula units

a b c (Å): 3.913 3.913 5.919
angles (deg): 90.00 90.00 90.00
Space group P4mm (No. 99)
Symmetry-distinct sites (fractional):
1 Ca 0.000 0.000 0.000
2 P 0.000 0.000 0.495
3 P 0.500 0.500 0.540
4 Se 0.500 0.500 0.935

***

Record 3
Below is a relaxed structure of Tb6HoTm2, with properties calculated at the GGA-PBE level.

Results
formation energy = 0.16 eV per formula unit
offset from the most stable computed form = 0.0 meV/atom

a b c (Å): 3.536 8.648 9.344
angles (deg): 90.01 100.85 90.06
Space group P-1 (No. 2)
Symmetry-distinct sites (fractional):
1 Tb 0.110 0.166 0.220
2 Tb 0.222 0.834 0.443
3 Tb 0.334 0.500 0.668
4 Ho 0.000 0.500 0.000
5 Tm 0.444 0.167 0.890

***

Record 4
Below is a relaxed structure of YPuTlO6, with properties calculated at the GGA-PBE level.

Results
ΔE_f (raw) = -1914 kJ/mol of formula units

a b c (Å): 5.6233 5.6233 9.8461
angles (deg): 90.00 90.00 120.00
Space group P-31c (No. 163)
Symmetry-distinct sites (fractional):
1 Y 0.0000 0.0000 0.0000
2 Pu 0.3333 0.6667 0.2500
3 Tl 0.3333 0.6667 0.7500
4 O 0.0302 0.3556 0.1313

***

Record 5
Below is a relaxed structure of ReNiPb, with properties calculated at the GGA-PBE level.

Results
formation energy = 2.10 eV per formula unit
offset from the most stable computed form = 0.0 meV/atom

a b c (Å): 2.930 2.930 12.629
angles (deg): 90.00 90.00 90.00
Space group I4mm (No. 107)
Symmetry-distinct sites (fractional):
1 Re 0.000 0.000 0.000
2 Ni 0.000 0.000 0.387
3 Pb 0.000 0.000 0.690

***

Record 6
Below is a relaxed structure of BeNb2Ga, with properties calculated at the GGA-PBE level.

Results
formation energy = -0.69 eV per formula unit
offset from the most stable computed form = 0.0 meV/atom

a b c (Å): 9.029 6.036 5.488
angles (deg): 90.00 125.66 90.00
Space group C2/c (No. 15)
Symmetry-distinct sites (fractional):
1 Be 0.000 0.199 0.250
2 Nb 0.201 0.493 0.246
3 Ga 0.000 0.183 0.750

***

Record 7
Below is a relaxed structure of Dy6Cu2Pd, with properties calculated at the GGA-PBE level.

Results
formation energy = -2.62 eV per formula unit

a b c (Å): 9.520 9.649 9.718
angles (deg): 90.00 90.00 90.00
Space group Immm (No. 71)
Symmetry-distinct sites (fractional):
1 Dy 0.000 0.199 0.175
2 Dy 0.177 0.235 0.500
3 Dy 0.186 0.500 0.246
4 Cu 0.000 0.000 0.380
5 Cu 0.148 0.000 0.000
6 Pd 0.000 0.500 0.000
7 Pd 0.000 0.500 0.500

***

Record 8
Below is a relaxed structure of Dy5YTh3, with properties calculated at the GGA-PBE level.

Results
formation energy = 4.94 eV per formula unit

a b c (Å): 12.518 8.217 12.359
angles (deg): 90.00 96.52 90.00
Space group C2/m (No. 12)
Symmetry-distinct sites (fractional):
1 Dy 0.000 0.173 0.000
2 Dy 0.057 0.000 0.622
3 Dy 0.134 0.305 0.774
4 Dy 0.244 0.000 0.978
5 Y 0.139 0.500 0.268
6 Th 0.000 0.500 0.000
7 Th 0.000 0.500 0.500
8 Th 0.122 0.000 0.216
9 Th 0.238 0.000 0.455

***

Record 9
Below is a relaxed structure of TeAu2, with properties calculated at the GGA-PBE level.

Results
ΔE_f (raw) = 50 kJ/mol of formula units

a b c (Å): 3.882 3.882 8.610
angles (deg): 90.00 90.00 90.00
Space group I4/mmm (No. 139)
Symmetry-distinct sites (fractional):
1 Te 0.000 0.000 0.000
2 Au 0.000 0.000 0.334

***

Record 10
Below is a relaxed structure of Dy2ZnPt7, with properties calculated at the GGA-PBE level.

Results
formation energy = 0.43 eV per formula unit

a b c (Å): 9.548 9.548 9.548
angles (deg): 90.00 90.00 90.00
Space group Fm-3m (No. 225)
Symmetry-distinct sites (fractional):
1 Dy 0.250 0.250 0.250
2 Zn 0.000 0.000 0.000
3 Pt 0.000 0.000 0.241
4 Pt 0.000 0.000 0.500

***

Record 11
Below is a relaxed structure of La6PN4, with properties calculated at the GGA-PBE level.

Results
ΔE_f (raw) = -1349 kJ/mol of formula units

a b c (Å): 3.854 12.453 19.290
angles (deg): 90.00 90.00 90.00
Space group Cmcm (No. 63)
Symmetry-distinct sites (fractional):
1 La 0.000 0.000 0.000
2 La 0.000 0.153 0.250
3 La 0.000 0.279 0.579
4 La 0.000 0.453 0.152
5 P 0.000 0.168 0.750
6 N 0.000 0.082 0.126
7 N 0.000 0.359 0.041

***

Record 12
Below is a relaxed structure of ScSnH2, with properties calculated at the GGA-PBE level.

Results
offset from the most stable computed form = 594.4 meV/atom

a b c (Å): 5.898 5.898 5.898
angles (deg): 90.00 90.00 90.00
Space group Fm-3m (No. 225)
Symmetry-distinct sites (fractional):
1 Sc 0.000 0.000 0.000
2 Sn 0.000 0.000 0.500
3 H 0.250 0.250 0.250

***

Record 13
Below is a relaxed structure of Cs2Se3, with properties calculated at the GGA-PBE level.

Results
ΔE_f (raw) = -405 kJ/mol of formula units
offset from the most stable computed form = 0.0 meV/atom

a b c (Å): 8.099 11.770 8.509
angles (deg): 90.00 90.00 90.00
Space group Cmc2_1 (No. 36)
Symmetry-distinct sites (fractional):
1 Cs 0.000 0.084 0.000
2 Cs 0.000 0.401 0.221
3 Se 0.000 0.293 0.688
4 Se 0.237 0.338 0.846

***

Record 14
Below is a relaxed structure of LaErTlPb, with properties calculated at the GGA-PBE level.

Results
formation energy = -1.63 eV per formula unit
offset from the most stable computed form = 22.1 meV/atom

a b c (Å): 7.804 7.804 7.804
angles (deg): 90.00 90.00 90.00
Space group F-43m (No. 216)
Symmetry-distinct sites (fractional):
1 La 0.000 0.000 0.000
2 Er 0.000 0.000 0.500
3 Tl 0.250 0.250 0.250
4 Pb 0.250 0.250 0.750

***

Record 15
Below is a relaxed structure of RbTl2CdPt, with properties calculated at the GGA-PBE level.

Results
formation energy = -0.64 eV per formula unit
offset from the most stable computed form = 0.0 meV/atom

a b c (Å): 5.436 5.436 5.423
angles (deg): 90.00 90.00 90.00
Space group P4/mmm (No. 123)
Symmetry-distinct sites (fractional):
1 Rb 0.000 0.000 0.000
2 Tl 0.000 0.500 0.500
3 Cd 0.500 0.500 0.000
4 Pt 0.500 0.500 0.500

***

Record 16
Below is a relaxed structure of ErNi12As6, with properties calculated at the GGA-PBE level.

Results
formation energy = -4.26 eV per formula unit

a b c (Å): 10.7199 10.7199 7.9778
angles (deg): 90.00 90.00 120.00
Space group R-3m (No. 166, hexagonal axes)
Symmetry-distinct sites (fractional):
1 Er 0.0000 0.0000 0.0000
2 Ni 0.0000 0.3787 0.5000
3 Ni 0.0826 0.1651 0.3332
4 As 0.0382 0.5191 0.2650

***

Record 17
Below is a relaxed structure of CsPmHfO4, with properties calculated at the GGA-PBE level.

Results
ΔE_f (raw) = -1974 kJ/mol of formula units

a b c (Å): 6.258 6.263 8.739
angles (deg): 90.00 107.76 90.00
Space group P2_1/m (No. 11)
Symmetry-distinct sites (fractional):
1 Cs 0.136 0.250 0.142
2 Pm 0.310 0.750 0.461
3 Hf 0.232 0.250 0.655
4 O 0.008 0.250 0.772
5 O 0.014 0.250 0.446
6 O 0.449 0.020 0.649

***

Record 18
Below is a relaxed structure of BaMnIr2, with properties calculated at the GGA-PBE level.

Results
formation energy = 2.98 eV per formula unit
offset from the most stable computed form = 788.0 meV/atom

a b c (Å): 6.194 8.312 3.107
angles (deg): 90.00 90.00 90.00
Space group Cmmm (No. 65)
Symmetry-distinct sites (fractional):
1 Ba 0.000 0.000 0.000
2 Mn 0.000 0.500 0.000
3 Ir 0.250 0.250 0.500

***

Record 19
Below is a relaxed structure of AcMgCdSn, with properties calculated at the GGA-PBE level.

Results
formation energy = -1.23 eV per formula unit

a b c (Å): 7.742 7.742 7.742
angles (deg): 90.00 90.00 90.00
Space group F-43m (No. 216)
Symmetry-distinct sites (fractional):
1 Ac 0.000 0.000 0.000
2 Mg 0.000 0.000 0.500
3 Cd 0.250 0.250 0.750
4 Sn 0.250 0.250 0.250

***

Record 20
Below is a relaxed structure of Ca2Cd3In2, with properties calculated at the GGA-PBE level.

Results
formation energy = -1.92 eV per formula unit
offset from the most stable computed form = 30.0 meV/atom

a b c (Å): 11.703 4.825 6.993
angles (deg): 90.00 104.75 90.00
Space group C2/m (No. 12)
Symmetry-distinct sites (fractional):
1 Ca 0.111 0.000 0.330
2 Cd 0.000 0.500 0.000
3 Cd 0.229 0.000 0.855
4 In 0.108 0.500 0.671

***

Result set for size of the total moment: 1.69 0.00 0.00 4.00 0.00 0.00 0.00 0.00 0.00 0.01 0.00 0.00 0.00 0.03 0.00 0.00 0.00 8.42 0.00 0.00 μB/cell, one per record in the order listed.